1.
Below is a crystal of LiCo2Ru relaxed with PBEsol, with properties calculated at the meta-GGA SCAN level. Values from VASP.

Geometry as Quantum ESPRESSO input:
```
&SYSTEM
  ibrav = 0, nat = 4, ntyp = 3
/
ATOMIC_SPECIES
Co 58.93 Co.upf
Li 6.94 Li.upf
Ru 101.07 Ru.upf
ATOMIC_POSITIONS angstrom
Co 0.000 2.120 2.229
Co 1.294 2.120 4.163
Li 1.294 2.120 0.074
Ru 1.294 0.000 2.008
CELL_PARAMETERS angstrom
2.587 0.000 0.000
0.000 4.240 0.000
-1.294 -2.120 4.236
```

Calculated values
Formation energy ... 4.26 kcal/mol of atoms
Crystal system ... orthorhombic
Symmetry ... Imm2
Energy above the lowest structure with this stoichiometry ... 0 meV per atom

=====

2.
Below is a crystal of LiCo2Ru relaxed with PBEsol, with properties calculated at the meta-GGA SCAN level. Values from VASP.

Geometry as Quantum ESPRESSO input:
```
&SYSTEM
  ibrav = 0, nat = 4, ntyp = 3
/
ATOMIC_SPECIES
Ru 101.07 Ru.upf
Co 58.93 Co.upf
Li 6.94 Li.upf
ATOMIC_POSITIONS angstrom
Ru 1.261 1.784 2.445
Co 0.000 0.000 3.675
Co 0.000 0.000 1.216
Li 1.261 1.784 0.000
CELL_PARAMETERS angstrom
2.523 0.000 0.000
0.000 3.569 0.000
0.000 0.000 4.890
```

Calculated values
Formation energy ... 5.72 kcal/mol of atoms
Crystal system ... orthorhombic
Symmetry ... Pmmm
Energy above the lowest structure with this stoichiometry ... 64 meV per atom

=====

3.
Below is a crystal of LiCoRu relaxed with PBEsol, with properties calculated at the meta-GGA SCAN level. Values from VASP.

Geometry as Quantum ESPRESSO input:
```
&SYSTEM
  ibrav = 0, nat = 3, ntyp = 3
/
ATOMIC_SPECIES
Co 58.93 Co.upf
Li 6.94 Li.upf
Ru 101.07 Ru.upf
ATOMIC_POSITIONS angstrom
Co 0.000 0.000 0.000
Li -1.685 0.017 4.378
Ru -0.843 0.009 2.189
CELL_PARAMETERS angstrom
-2.721 1.409 2.298
-1.456 -2.172 2.799
0.807 0.797 3.659
```

Calculated values
Formation energy ... 18.85 kcal/mol of atoms
Crystal system ... cubic
Symmetry ... F-43m

=====

4.
Below is a crystal of LiCoRu2 relaxed with PBEsol, with properties calculated at the meta-GGA SCAN level. Values from VASP.

Geometry as Quantum ESPRESSO input:
```
&SYSTEM
  ibrav = 0, nat = 4, ntyp = 3
/
ATOMIC_SPECIES
Ru 101.07 Ru.upf
Co 58.93 Co.upf
Li 6.94 Li.upf
ATOMIC_POSITIONS angstrom
Ru -2.391 -0.763 0.577
Ru -3.204 0.998 4.474
Co -0.610 -0.330 2.458
Li -2.970 -1.076 2.912
CELL_PARAMETERS angstrom
-2.026 1.638 -0.283
-2.172 -2.846 -0.921
-1.181 -0.641 4.763
```

Calculated values
Formation energy ... 4.84 kcal/mol of atoms
Crystal system ... orthorhombic
Symmetry ... Pmm2
Energy above the lowest structure with this stoichiometry ... 20 meV per atom

=====

5.
Below is a crystal of LiCoRu2 relaxed with PBEsol, with properties calculated at the meta-GGA SCAN level. Values from VASP.

Geometry as Quantum ESPRESSO input:
```
&SYSTEM
  ibrav = 0, nat = 4, ntyp = 3
/
ATOMIC_SPECIES
Co 58.93 Co.upf
Li 6.94 Li.upf
Ru 101.07 Ru.upf
ATOMIC_POSITIONS angstrom
Co 1.148 -1.815 -1.247
Li 1.458 -2.163 1.036
Ru -0.980 -2.228 0.566
Ru 0.483 -4.373 1.583
CELL_PARAMETERS angstrom
-1.255 -1.742 -1.870
3.582 -1.768 -0.756
-1.854 -0.901 4.252
```

Calculated values
Formation energy ... 4.39 kcal/mol of atoms
Crystal system ... orthorhombic
Symmetry ... Imm2
Energy above the lowest structure with this stoichiometry ... 0 meV per atom

=====

6.
Below is a crystal of LiCoRu2 relaxed with PBEsol, with properties calculated at the meta-GGA SCAN level. Values from VASP.

Geometry as Quantum ESPRESSO input:
```
&SYSTEM
  ibrav = 0, nat = 4, ntyp = 3
/
ATOMIC_SPECIES
Co 58.93 Co.upf
Ru 101.07 Ru.upf
Li 6.94 Li.upf
ATOMIC_POSITIONS angstrom
Co 2.597 1.499 4.319
Ru 3.895 2.249 6.324
Ru 1.298 0.750 2.314
Li 0.000 0.000 0.000
CELL_PARAMETERS angstrom
2.597 0.000 0.000
1.298 2.249 0.000
1.298 0.750 8.638
```

Calculated values
Formation energy ... 5.41 kcal/mol of atoms
Crystal system ... trigonal
Symmetry ... R-3m
Energy above the lowest structure with this stoichiometry ... 44 meV per atom

=====

7.
Below is a crystal of LiCo3S relaxed with PBEsol, with properties calculated at the meta-GGA SCAN level. Values from VASP.

Geometry as Quantum ESPRESSO input:
```
&SYSTEM
  ibrav = 0, nat = 5, ntyp = 3
/
ATOMIC_SPECIES
Co 58.93 Co.upf
S 32.06 S.upf
Li 6.94 Li.upf
ATOMIC_POSITIONS angstrom
Co -0.815 1.495 0.930
Co -1.749 -0.573 -0.611
Co -0.196 -1.095 1.589
S -2.760 -0.174 1.907
Li 0.000 0.000 0.000
CELL_PARAMETERS angstrom
-1.630 2.989 1.859
-3.498 -1.147 -1.222
-0.392 -2.190 3.178
```

Calculated values
Crystal system ... cubic
Symmetry ... Pm-3m
Formation energy from raw total energies ... 531 kJ/mol of formula units

=====

8.
Below is a crystal of Li2CoSb2 relaxed with PBEsol, with properties calculated at the meta-GGA SCAN level. Values from VASP.

Geometry as Quantum ESPRESSO input:
```
&SYSTEM
  ibrav = 0, nat = 10, ntyp = 3
/
ATOMIC_SPECIES
Sb 121.76 Sb.upf
Li 6.94 Li.upf
Co 58.93 Co.upf
ATOMIC_POSITIONS angstrom
Sb -2.044 -1.303 -0.348
Sb -5.031 -3.019 -0.714
Sb -0.508 -3.513 -2.528
Sb -3.494 -5.229 -2.893
Li -1.344 -0.594 -2.974
Li -2.064 -3.357 -4.860
Li -4.584 -0.501 -1.874
Li -5.304 -3.265 -3.761
Co -2.769 -3.266 -1.621
Co 0.000 0.000 0.000
CELL_PARAMETERS angstrom
-1.109 2.674 -3.493
0.701 -5.002 -4.051
-6.240 -1.530 0.810
```

Calculated values
Crystal system ... tetragonal
Symmetry ... P4/mbm
Formation energy from raw total energies ... -112 kJ/mol of formula units

=====

9.
Below is a crystal of LiCoSb3 relaxed with PBEsol, with properties calculated at the meta-GGA SCAN level. Values from VASP.

Geometry as Quantum ESPRESSO input:
```
&SYSTEM
  ibrav = 0, nat = 5, ntyp = 3
/
ATOMIC_SPECIES
Sb 121.76 Sb.upf
Li 6.94 Li.upf
Co 58.93 Co.upf
ATOMIC_POSITIONS angstrom
Sb 0.000 0.000 2.474
Sb 2.474 0.000 0.000
Sb 0.000 2.474 0.000
Li 2.474 2.474 2.474
Co 0.000 0.000 0.000
CELL_PARAMETERS angstrom
4.947 0.000 0.000
0.000 4.947 0.000
0.000 0.000 4.947
```

Calculated values
Crystal system ... cubic
Symmetry ... Pm-3m
Formation energy from raw total energies ... 124 kJ/mol of formula units

=====

10.
Below is a crystal of LiCo2Sb relaxed with PBEsol, with properties calculated at the meta-GGA SCAN level. Values from VASP.

Geometry as Quantum ESPRESSO input:
```
&SYSTEM
  ibrav = 0, nat = 4, ntyp = 3
/
ATOMIC_SPECIES
Li 6.94 Li.upf
Co 58.93 Co.upf
Sb 121.76 Sb.upf
ATOMIC_POSITIONS angstrom
Li -1.545 -1.850 2.976
Co 0.647 -1.950 1.619
Co 0.006 0.017 0.101
Sb 0.826 -1.462 4.284
CELL_PARAMETERS angstrom
-1.711 -2.300 0.539
2.834 -2.064 0.188
0.349 0.946 5.143
```

Calculated values
Crystal system ... orthorhombic
Symmetry ... Pmm2
Formation energy from raw total energies ... 52 kJ/mol of formula units

=====

11.
Below is a crystal of LiScCo2 relaxed with PBEsol, with properties calculated at the meta-GGA SCAN level. Values from VASP.

Geometry as Quantum ESPRESSO input:
```
&SYSTEM
  ibrav = 0, nat = 4, ntyp = 3
/
ATOMIC_SPECIES
Li 6.94 Li.upf
Co 58.93 Co.upf
Sc 44.96 Sc.upf
ATOMIC_POSITIONS angstrom
Li -0.821 -2.429 -0.657
Co -1.055 -1.574 1.807
Co 1.332 -2.108 0.797
Sc 0.000 0.000 0.000
CELL_PARAMETERS angstrom
-3.208 -1.895 0.353
1.566 -2.963 -1.666
1.919 1.175 3.918
```

Calculated values
Formation energy ... 2.24 kcal/mol of atoms
Crystal system ... tetragonal
Symmetry ... I4/mmm
Energy above the lowest structure with this stoichiometry ... 0 meV per atom

=====

12.
Below is a crystal of LiScCo2 relaxed with PBEsol, with properties calculated at the meta-GGA SCAN level. Values from VASP.

Geometry as Quantum ESPRESSO input:
```
&SYSTEM
  ibrav = 0, nat = 4, ntyp = 3
/
ATOMIC_SPECIES
Co 58.93 Co.upf
Sc 44.96 Sc.upf
Li 6.94 Li.upf
ATOMIC_POSITIONS angstrom
Co -2.294 -0.181 1.647
Co -2.414 -0.663 -0.627
Sc -1.363 2.901 2.963
Li -1.584 1.806 0.441
CELL_PARAMETERS angstrom
-2.504 -0.873 -0.721
-0.550 -1.348 3.547
-0.563 4.930 1.786
```

Calculated values
Formation energy ... 3.74 kcal/mol of atoms
Crystal system ... monoclinic
Symmetry ... Pm
Energy above the lowest structure with this stoichiometry ... 65 meV per atom

=====

13.
Below is a crystal of LiScCo2 relaxed with PBEsol, with properties calculated at the meta-GGA SCAN level. Values from VASP.

Geometry as Quantum ESPRESSO input:
```
&SYSTEM
  ibrav = 0, nat = 4, ntyp = 3
/
ATOMIC_SPECIES
Co 58.93 Co.upf
Sc 44.96 Sc.upf
Li 6.94 Li.upf
ATOMIC_POSITIONS angstrom
Co -0.827 -1.563 -1.810
Co -2.509 -4.787 -5.441
Sc 0.000 0.000 0.000
Li -1.668 -3.175 -3.625
CELL_PARAMETERS angstrom
-1.778 0.769 -2.053
0.888 0.082 -2.678
-2.446 -7.201 -2.520
```

Calculated values
Formation energy ... 8.00 kcal/mol of atoms
Crystal system ... trigonal
Symmetry ... R-3m
Energy above the lowest structure with this stoichiometry ... 250 meV per atom

=====

14.
Below is a crystal of Li3ScCo relaxed with PBEsol, with properties calculated at the meta-GGA SCAN level. Values from VASP.

Geometry as Quantum ESPRESSO input:
```
&SYSTEM
  ibrav = 0, nat = 5, ntyp = 3
/
ATOMIC_SPECIES
Li 6.94 Li.upf
Co 58.93 Co.upf
Sc 44.96 Sc.upf
ATOMIC_POSITIONS angstrom
Li -1.409 -1.586 0.530
Li -1.567 1.011 -1.141
Li -0.582 1.115 1.789
Co 0.000 0.000 0.000
Sc -3.559 0.540 1.178
CELL_PARAMETERS angstrom
-3.135 2.023 -2.281
-2.818 -3.172 1.060
-1.165 2.230 3.577
```

Calculated values
Formation energy ... 13.64 kcal/mol of atoms
Crystal system ... cubic
Symmetry ... Pm-3m

=====

15.
Below is a crystal of LiSc2Co relaxed with PBEsol, with properties calculated at the meta-GGA SCAN level. Values from VASP.

Geometry as Quantum ESPRESSO input:
```
&SYSTEM
  ibrav = 0, nat = 4, ntyp = 3
/
ATOMIC_SPECIES
Sc 44.96 Sc.upf
Co 58.93 Co.upf
Li 6.94 Li.upf
ATOMIC_POSITIONS angstrom
Sc 0.000 0.000 0.000
Sc -2.741 0.610 1.022
Co -0.801 -1.359 2.158
Li -0.694 1.616 2.415
CELL_PARAMETERS angstrom
-2.848 -2.366 0.765
1.246 -0.352 3.552
-1.833 4.943 -0.879
```

Calculated values
Formation energy ... 4.44 kcal/mol of atoms
Crystal system ... tetragonal
Symmetry ... I-4m2

=====

It is found that the volume values, taken in the order of the records, are 46.47, 44.03, 39.74, 47.94, 46.55, 50.43, 58.38, 190.19, 121.10, 53.66, 51.29, 53.20, 54.12, 83.63, 66.15 Å³ per cell.